This record from Alexandria describes a relaxed AlSi2 crystal. The functional is PBE-GGA.

Cell and atoms, written as CIF:
```
data_AlSi2
_chemical_formula_sum 'Al2 Si4'
_space_group_name_H-M_alt 'I 4/m m m'
_space_group_IT_number 139
_space_group_name_Hall '-I 4 2'
_cell_length_a 2.971
_cell_length_b 2.971
_cell_length_c 10.301
_cell_angle_alpha 90.00
_cell_angle_beta 90.00
_cell_angle_gamma 90.00
loop_
_atom_site_label
_atom_site_fract_x
_atom_site_fract_y
_atom_site_fract_z
Al1 0.000 0.000 0.000
Si1 0.000 0.000 0.324
```

* V: 90.91 Å³ per cell
* energy relative to the elements, uncorrected: 0.932 eV/f.u.
* E: -4.552 eV per atom

=====

This record from Alexandria describes a relaxed AlSi4 crystal. The functional is PBE-GGA.

Cell and atoms, written as CIF:
```
data_AlSi4
_chemical_formula_sum 'Al2 Si8'
_space_group_name_H-M_alt 'I 4/m m m'
_space_group_IT_number 139
_space_group_name_Hall '-I 4 2'
_cell_length_a 4.554
_cell_length_b 4.554
_cell_length_c 8.354
_cell_angle_alpha 90.00
_cell_angle_beta 90.00
_cell_angle_gamma 90.00
loop_
_atom_site_label
_atom_site_fract_x
_atom_site_fract_y
_atom_site_fract_z
Al1 0.000 0.000 0.000
Si1 0.000 0.000 0.361
Si2 0.000 0.500 0.250
```

* V: 173.23 Å³ per cell
* energy relative to the elements, uncorrected: 1.714 eV/f.u.
* E: -4.744 eV per atom

=====

This record from Alexandria describes a relaxed Al3Si crystal. The functional is PBE-GGA.

Cell and atoms, written as CIF:
```
data_Al3Si
_chemical_formula_sum 'Al6 Si2'
_space_group_name_H-M_alt 'I m m 2'
_space_group_IT_number 44
_cell_length_a 2.816
_cell_length_b 9.667
_cell_length_c 4.738
_cell_angle_alpha 90.00
_cell_angle_beta 90.00
_cell_angle_gamma 90.00
loop_
_space_group_symop_operation_xyz
'x,y,z'
'-x,-y,z'
'-x,y,z'
'x,-y,z'
'x+1/2,y+1/2,z+1/2'
'-x+1/2,-y+1/2,z+1/2'
'-x+1/2,y+1/2,z+1/2'
'x+1/2,-y+1/2,z+1/2'
loop_
_atom_site_label
_atom_site_fract_x
_atom_site_fract_y
_atom_site_fract_z
Al1 0.000 0.000 0.000
Al2 0.000 0.235 0.380
Si1 0.000 0.500 0.011
```

* V: 128.99 Å³ per cell
* energy relative to the elements, uncorrected: 0.519 eV/f.u.
* E: -4.033 eV per atom

=====

This record from Alexandria describes a relaxed AlSi4 crystal. The functional is PBE-GGA.

Cell and atoms, written as CIF:
```
data_AlSi4
_chemical_formula_sum 'Al2 Si8'
_space_group_name_H-M_alt 'I m -3 m'
_space_group_IT_number 229
_space_group_name_Hall '-I 4 2 3'
_cell_length_a 5.616
_cell_length_b 5.616
_cell_length_c 5.616
_cell_angle_alpha 90.00
_cell_angle_beta 90.00
_cell_angle_gamma 90.00
loop_
_atom_site_label
_atom_site_fract_x
_atom_site_fract_y
_atom_site_fract_z
Al1 0.000 0.000 0.000
Si1 0.250 0.250 0.250
```

* V: 177.10 Å³ per cell
* energy relative to the elements, uncorrected: 2.746 eV/f.u.
* E: -4.538 eV per atom

=====

Copy entry 1 word for word.
This record from Alexandria describes a relaxed AlSi2 crystal. The functional is PBE-GGA.

Cell and atoms, written as CIF:
```
data_AlSi2
_chemical_formula_sum 'Al2 Si4'
_space_group_name_H-M_alt 'I 4/m m m'
_space_group_IT_number 139
_space_group_name_Hall '-I 4 2'
_cell_length_a 2.971
_cell_length_b 2.971
_cell_length_c 10.301
_cell_angle_alpha 90.00
_cell_angle_beta 90.00
_cell_angle_gamma 90.00
loop_
_atom_site_label
_atom_site_fract_x
_atom_site_fract_y
_atom_site_fract_z
Al1 0.000 0.000 0.000
Si1 0.000 0.000 0.324
```

* V: 90.91 Å³ per cell
* energy relative to the elements, uncorrected: 0.932 eV/f.u.
* E: -4.552 eV per atom